The following is a DFT calculation (PBE+U) of crystalline BaCrAs2O8 at its relaxed geometry.

Computed properties:
**Total energy**: -6.3907 eV per atom
**Total magnetization**: 0.161 μB/atom

a = 5.0231 Å, b = 5.0231 Å, c = 24.3668 Å
α = 90.00°, β = 90.00°, γ = 120.00°
With the nearest neighbours (Å) after each atom.
Space group R32 (No. 155, hexagonal axes)
Unique sites:
Ba: 0.0000 0.0000 0.0000 (multiplicity 3)  6 O 2.96
Cr: 0.0000 0.0000 0.5000 (multiplicity 3)  6 O 2.01
As: 0.0000 0.0000 0.2388 (multiplicity 6)  4 O 1.71-1.72
O: 0.0000 0.0000 0.3091 (multiplicity 6)  1 As 1.71
O: 0.0164 0.3746 0.1133 (multiplicity 18)  1 As 1.72